1) The following is a DFT calculation (PBE-GGA) of a relaxed structure of Tb3Pr4Tl.

Summary:
Crystal system ... orthorhombic
D(E_F) ... 9.4 states/eV/f.u.

Cell and atoms, written as POSCAR:
```
Tb3Pr4Tl
1.0
-3.388 -6.242 -0.027
0.330 -0.151 -6.356
10.126 -5.499 0.657
Tb Pr Tl
6 8 2
Direct
0.688 0.819 0.000
0.187 0.499 0.249
0.687 0.501 0.251
0.188 0.181 0.500
0.687 0.501 0.749
0.187 0.499 0.751
0.193 0.835 0.000
0.442 0.309 0.000
0.941 0.027 0.236
0.441 0.973 0.264
0.942 0.691 0.500
0.693 0.165 0.500
0.441 0.973 0.736
0.941 0.027 0.764
0.936 0.360 0.000
0.436 0.640 0.500
```


2) The following is a DFT calculation (PBE-GGA) of a relaxed structure of Tb3Pr4Tl.

Summary:
Crystal system ... tetragonal
D(E_F) ... 9.9 states/eV/f.u.

Cell and atoms, written as POSCAR:
```
Tb3Pr4Tl
1.0
-1.622 -3.893 2.740
-1.861 -2.146 -4.151
10.717 -1.798 -0.828
Pr Tl Tb
4 1 3
Direct
0.378 0.378 0.756
0.622 0.622 0.244
0.122 0.122 0.244
0.878 0.878 0.756
0.500 0.000 0.000
0.000 0.500 0.000
0.751 0.251 0.502
0.249 0.749 0.498
```


Which of them is most stable, and which least? Most stable: 2); least stable: 1).


1) The following is a DFT calculation (PBE-GGA) of a relaxed structure of Tb6Pr3Tl.

Summary:
Crystal system ... orthorhombic
D(E_F) ... 14.0 states/eV/f.u.

Cell and atoms, written as POSCAR:
```
Tb6Pr3Tl
1.0
-3.940 -1.234 -4.669
8.513 0.046 -7.197
-3.230 -9.322 5.189
Tb Pr Tl
12 6 2
Direct
0.040 0.711 0.622
0.540 0.622 0.711
0.387 0.564 0.967
0.887 0.967 0.564
0.419 0.940 0.060
0.643 0.283 0.717
0.143 0.717 0.283
0.919 0.060 0.940
0.387 0.033 0.436
0.887 0.436 0.033
0.040 0.378 0.289
0.540 0.289 0.378
0.425 0.950 0.719
0.925 0.719 0.950
0.060 0.395 0.605
0.560 0.605 0.395
0.925 0.050 0.281
0.425 0.281 0.050
0.159 0.233 0.767
0.659 0.767 0.233
```


2) The following is a DFT calculation (PBE-GGA) of a relaxed structure of Tb6Pr3Tl.

Summary:
Crystal system ... monoclinic
D(E_F) ... 14.0 states/eV/f.u.

Cell and atoms, written as POSCAR:
```
Tb6Pr3Tl
1.0
-2.123 -1.527 -2.494
-4.490 -7.586 8.467
-10.436 10.372 2.534
Tb Pr Tl
12 6 2
Direct
0.250 0.380 0.546
0.750 0.620 0.454
0.250 0.882 0.993
0.750 0.118 0.007
0.250 0.807 0.604
0.750 0.193 0.396
0.250 0.688 0.245
0.750 0.312 0.755
0.250 0.570 0.892
0.750 0.430 0.108
0.250 0.201 0.193
0.750 0.799 0.807
0.250 0.100 0.589
0.750 0.900 0.411
0.250 0.424 0.320
0.750 0.576 0.680
0.250 0.058 0.809
0.750 0.942 0.191
0.250 0.318 0.940
0.750 0.682 0.060
```


Which of them is most stable, and which least? Most stable: 2); least stable: 1).


1) The following is a DFT calculation (PBE-GGA) of a relaxed structure of Tb2Pr2Tl3.

Summary:
Crystal system ... orthorhombic
D(E_F) ... 6.9 states/eV/f.u.

Cell and atoms, written as POSCAR:
```
Tb2Pr2Tl3
1.0
-1.219 -1.161 3.172
3.181 0.796 1.514
-6.024 14.515 5.030
Tb Pr Tl
2 2 3
Direct
0.703 0.500 0.595
0.297 0.500 0.405
0.570 0.500 0.861
0.430 0.500 0.139
0.860 0.000 0.280
0.000 0.000 0.000
0.140 0.000 0.720
```


2) The following is a DFT calculation (PBE-GGA) of a relaxed structure of Tb2Pr2Tl3.

Summary:
Crystal system ... monoclinic
D(E_F) ... 6.0 states/eV/f.u.

Cell and atoms, written as POSCAR:
```
Tb2Pr2Tl3
1.0
-1.664 0.664 3.385
7.802 -0.913 4.008
-0.085 6.402 0.866
Tb Pr Tl
2 2 3
Direct
0.560 0.289 0.879
0.440 0.711 0.121
0.709 0.840 0.583
0.291 0.160 0.417
0.000 0.000 0.000
0.852 0.455 0.297
0.148 0.545 0.703
```


Which of them is most stable, and which least? Most stable: 2); least stable: 1).


1) The following is a DFT calculation (PBE-GGA) of a relaxed structure of Tb2PrTl2.

Summary:
Crystal system ... hexagonal
D(E_F) ... 2.8 states/eV/f.u.

Cell and atoms, written as POSCAR:
```
Tb2PrTl2
1.0
-1.506 -1.740 -4.688
-3.194 -0.460 4.106
-5.103 11.608 -2.669
Tb Pr Tl
4 2 4
Direct
0.667 0.333 0.750
0.000 0.000 0.000
0.000 0.000 0.500
0.333 0.667 0.250
0.000 0.000 0.250
0.000 0.000 0.750
0.333 0.667 0.625
0.667 0.333 0.125
0.667 0.333 0.375
0.333 0.667 0.875
```


2) The following is a DFT calculation (PBE-GGA) of a relaxed structure of Tb2PrTl2.

Summary:
Crystal system ... triclinic
D(E_F) ... 4.1 states/eV/f.u.

Cell and atoms, written as POSCAR:
```
Tb2PrTl2
1.0
-0.495 -6.770 1.230
4.339 -7.503 -0.832
3.043 -2.876 8.168
Tb Pr Tl
4 2 4
Direct
0.378 0.750 0.042
0.878 0.250 0.539
0.622 0.250 0.958
0.122 0.750 0.461
0.751 0.750 0.253
0.249 0.250 0.747
0.496 0.250 0.334
0.985 0.750 0.840
0.015 0.250 0.160
0.504 0.750 0.666
```


Which of them is most stable, and which least? Most stable: 2); least stable: 1).


1) The following is a DFT calculation (PBE-GGA) of a relaxed structure of TbPrTlZn.

Summary:
Crystal system ... cubic
D(E_F) ... 4.9 states/eV/f.u.

Cell and atoms, written as POSCAR:
```
TbPrTlZn
1.0
5.348 0.000 0.000
2.674 4.632 0.000
2.674 1.544 4.367
Pr Tl Tb Zn
1 1 1 1
Direct
0.750 0.750 0.750
0.500 0.500 0.500
0.250 0.250 0.250
0.000 0.000 0.000
```


2) The following is a DFT calculation (PBE-GGA) of a relaxed structure of TbPrTlZn.

Summary:
Crystal system ... tetragonal
D(E_F) ... 3.6 states/eV/f.u.

Cell and atoms, written as POSCAR:
```
TbPrTlZn
1.0
3.735 0.000 0.000
0.000 3.735 0.000
0.000 0.000 7.645
Tb Pr Tl Zn
1 1 1 1
Direct
0.000 0.000 0.380
0.000 0.000 0.836
0.500 0.500 0.122
0.500 0.500 0.590
```


Which of them is most stable, and which least? Most stable: 2); least stable: 1).


1) The following is a DFT calculation (PBE-GGA) of a relaxed structure of TbPr7Tm3.

Summary:
Crystal system ... orthorhombic
D(E_F) ... 19.6 states/eV/f.u.

Cell and atoms, written as POSCAR:
```
TbPr7Tm3
1.0
3.584 -9.331 0.000
3.584 9.331 0.000
0.000 0.000 11.473
Tb Pr Tm
2 14 6
Direct
0.500 0.500 0.000
0.500 0.500 0.500
0.665 0.842 0.250
0.158 0.335 0.750
0.412 0.087 0.469
0.412 0.087 0.031
0.913 0.588 0.969
0.913 0.588 0.531
0.753 0.753 0.750
0.247 0.247 0.250
0.087 0.412 0.031
0.087 0.412 0.469
0.588 0.913 0.969
0.588 0.913 0.531
0.842 0.665 0.250
0.335 0.158 0.750
0.749 0.251 0.750
0.000 0.000 0.000
0.000 0.000 0.500
0.749 0.251 0.250
0.251 0.749 0.750
0.251 0.749 0.250
```


2) The following is a DFT calculation (PBE-GGA) of a relaxed structure of TbPr7Tm3.

Summary:
Crystal system ... orthorhombic
D(E_F) ... 13.9 states/eV/f.u.

Cell and atoms, written as POSCAR:
```
TbPr7Tm3
1.0
-1.825 5.648 -0.137
-0.010 -2.929 8.100
8.563 -0.335 0.872
Tb Pr Tm
1 7 3
Direct
0.500 0.500 0.500
0.208 0.207 0.207
0.309 0.020 0.597
0.691 0.403 0.980
0.309 0.597 0.020
0.000 0.500 0.500
0.691 0.980 0.403
0.792 0.793 0.793
0.000 0.795 0.205
0.500 0.000 0.000
0.000 0.205 0.795
```


Which of them is most stable, and which least? Most stable: 1); least stable: 2).


1) The following is a DFT calculation (PBE-GGA) of a relaxed structure of TbPr12Tm7.

Summary:
Crystal system ... trigonal
D(E_F) ... 35.6 states/eV/f.u.

Cell and atoms, written as POSCAR:
```
TbPr12Tm7
1.0
-0.700 -6.213 6.338
8.355 2.614 1.623
-4.287 6.612 4.144
Tb Pr Tm
1 12 7
Direct
0.000 0.000 0.000
0.763 0.237 0.500
0.763 0.500 0.237
0.355 0.090 0.355
0.910 0.645 0.645
0.500 0.237 0.763
0.645 0.645 0.910
0.355 0.355 0.090
0.500 0.763 0.237
0.090 0.355 0.355
0.645 0.910 0.645
0.237 0.500 0.763
0.237 0.763 0.500
0.095 0.664 0.095
0.336 0.905 0.905
0.905 0.905 0.336
0.500 0.500 0.500
0.095 0.095 0.664
0.664 0.095 0.095
0.905 0.336 0.905
```


2) The following is a DFT calculation (PBE-GGA) of a relaxed structure of TbPr12Tm7.

Summary:
Crystal system ... trigonal
D(E_F) ... 29.2 states/eV/f.u.

Cell and atoms, written as POSCAR:
```
TbPr12Tm7
1.0
-5.000 0.054 3.755
-4.890 3.008 -10.027
3.306 -11.017 1.089
Tb Pr Tm
1 12 7
Direct
0.000 0.000 0.000
0.089 0.587 0.176
0.087 0.176 0.588
0.582 0.648 0.001
0.419 0.001 0.353
0.499 0.412 0.587
0.067 0.647 0.648
0.933 0.353 0.352
0.501 0.588 0.413
0.581 0.999 0.647
0.418 0.352 0.999
0.913 0.824 0.412
0.911 0.413 0.824
0.124 0.757 0.001
0.877 0.001 0.244
0.633 0.756 0.757
0.500 0.000 0.000
0.367 0.244 0.243
0.123 0.999 0.756
0.876 0.243 0.999
```


Which of them is most stable, and which least? Most stable: 1); least stable: 2).


1) The following is a DFT calculation (PBE-GGA) of a relaxed structure of Tb3Pr5Tm.

Summary:
Crystal system ... monoclinic
D(E_F) ... 15.7 states/eV/f.u.

Cell and atoms, written as POSCAR:
```
Tb3Pr5Tm
1.0
-4.054 -1.648 7.313
5.771 -5.875 2.193
6.671 1.028 11.951
Tb Pr Tm
6 10 2
Direct
0.667 0.667 0.830
0.669 0.669 0.321
0.000 0.000 0.000
0.000 0.000 0.500
0.333 0.333 0.170
0.331 0.331 0.679
0.968 0.467 0.385
0.256 0.744 0.000
0.668 0.668 0.078
0.345 0.345 0.420
0.655 0.655 0.580
0.332 0.332 0.922
0.467 0.968 0.385
0.744 0.256 0.000
0.032 0.533 0.615
0.533 0.032 0.615
0.010 0.010 0.744
0.990 0.990 0.256
```


2) The following is a DFT calculation (PBE-GGA) of a relaxed structure of Tb3Pr5Tm.

Summary:
Crystal system ... monoclinic
D(E_F) ... 12.2 states/eV/f.u.

Cell and atoms, written as POSCAR:
```
Tb3Pr5Tm
1.0
3.178 10.426 1.486
-3.178 10.426 1.486
0.000 5.622 10.432
Tb Pr Tm
6 10 2
Direct
0.000 0.000 0.000
0.046 0.603 0.326
0.000 0.000 0.500
0.954 0.397 0.674
0.603 0.046 0.826
0.397 0.954 0.174
0.410 0.590 0.750
0.006 0.354 0.970
0.530 0.196 0.115
0.994 0.646 0.030
0.804 0.470 0.385
0.590 0.410 0.250
0.354 0.006 0.470
0.646 0.994 0.530
0.196 0.530 0.615
0.470 0.804 0.885
0.901 0.099 0.750
0.099 0.901 0.250
```


Which of them is most stable, and which least? Most stable: 2); least stable: 1).


1) The following is a DFT calculation (PBE-GGA) of a relaxed structure of Tb7Pr3Tm2.

Summary:
Crystal system ... trigonal
D(E_F) ... 19.5 states/eV/f.u.

Cell and atoms, written as POSCAR:
```
Tb7Pr3Tm2
1.0
-3.435 4.722 -2.902
-6.141 1.173 1.853
0.562 9.437 7.366
Tb Pr Tm
7 3 2
Direct
0.500 0.500 0.500
0.082 0.584 0.751
0.584 0.584 0.751
0.584 0.082 0.751
0.918 0.416 0.249
0.416 0.918 0.249
0.416 0.416 0.249
0.000 0.000 0.000
0.156 0.156 0.532
0.844 0.844 0.468
0.333 0.333 0.000
0.667 0.667 0.000
```


2) The following is a DFT calculation (PBE-GGA) of a relaxed structure of Tb7Pr3Tm2.

Summary:
Crystal system ... monoclinic
D(E_F) ... 15.6 states/eV/f.u.

Cell and atoms, written as POSCAR:
```
Tb7Pr3Tm2
1.0
-1.115 -2.273 -2.535
5.561 -1.509 -1.094
-2.148 -13.495 13.044
Tb Pr Tm
7 3 2
Direct
0.500 0.743 0.463
0.500 0.257 0.537
0.000 0.692 0.145
0.000 0.000 0.000
0.000 0.308 0.855
0.500 0.806 0.822
0.500 0.194 0.178
0.500 0.500 0.000
0.000 0.223 0.366
0.000 0.777 0.634
0.500 0.713 0.293
0.500 0.287 0.707
```


Which of them is most stable, and which least? Most stable: 2); least stable: 1).